# K3PbBr6

A geometry-optimized K3PbBr6 structure (GGA-PBE, Alexandria via LeMat-Bulk).

uncorrected formation energy: -124.5 kJ/mol of atoms
space-group type: R-3 (148)
total magnetization: 0.000 Bohr magnetons per cell
ΔE to the lowest computed polymorph: 0 meV per atom
DOS(E_F): 12.13 states/eV per cell

Lattice parameters (Å, degrees): 9.404 9.404 9.404 90.65 90.65 90.65
Element x y z (fractional)
K: 0.070 0.583 0.741
K: 0.259 0.930 0.417
K: 0.417 0.259 0.930
K: 0.583 0.741 0.070
K: 0.741 0.070 0.583
K: 0.930 0.417 0.259
Pb: 0.000 0.000 0.000
Pb: 0.500 0.500 0.500
Br: 0.044 0.934 0.702
Br: 0.066 0.298 0.956
Br: 0.209 0.575 0.416
Br: 0.298 0.956 0.066
Br: 0.416 0.209 0.575
Br: 0.425 0.584 0.791
Br: 0.575 0.416 0.209
Br: 0.584 0.791 0.425
Br: 0.702 0.044 0.934
Br: 0.791 0.425 0.584
Br: 0.934 0.702 0.044
Br: 0.956 0.066 0.298

---

# OsRu2I

A geometry-optimized OsRu2I structure (GGA-PBE, Alexandria via LeMat-Bulk).

uncorrected formation energy: 118.1 kJ/mol of atoms
space-group type: Fm-3m (225)
total magnetization: 3.052 Bohr magnetons per cell
ΔE to the lowest computed polymorph: 134 meV per atom
DOS(E_F): 4.24 states/eV per cell

Lattice parameters (Å, degrees): 4.542 4.542 4.542 60.00 60.00 60.00
Element x y z (fractional)
Os: 0.000 0.000 0.000
Ru: 0.250 0.250 0.250
Ru: 0.750 0.750 0.750
I: 0.500 0.500 0.500

---

# K3ZnF5

A geometry-optimized K3ZnF5 structure (GGA-PBE, Alexandria via LeMat-Bulk).

uncorrected formation energy: -251.4 kJ/mol of atoms
space-group type: I4/mcm (140)
total magnetization: 0.226 Bohr magnetons per cell
DOS(E_F): 0.00 states/eV per cell

Lattice parameters (Å, degrees): 7.994 7.994 7.994 125.98 125.98 79.91
Element x y z (fractional)
K: 0.176 0.676 0.853
K: 0.250 0.250 0.000
K: 0.324 0.176 0.500
K: 0.676 0.824 0.500
K: 0.750 0.750 0.000
K: 0.824 0.324 0.147
Zn: 0.250 0.750 0.500
Zn: 0.750 0.250 0.500
F: 0.000 0.000 0.000
F: 0.006 0.797 0.500
F: 0.203 0.703 0.209
F: 0.297 0.506 0.500
F: 0.494 0.994 0.791
F: 0.500 0.500 0.000
F: 0.506 0.006 0.209
F: 0.703 0.494 0.500
F: 0.797 0.297 0.791
F: 0.994 0.203 0.500

---

# LaSn2

A geometry-optimized LaSn2 structure (GGA-PBE, Alexandria via LeMat-Bulk).

DFT formation energy: -1.39 eV/f.u.
space-group type: Fd-3m (227)
total magnetization: 0.824 Bohr magnetons per cell
DOS(E_F): 7.39 states/eV per cell

Lattice parameters (Å, degrees): 6.265 6.265 6.265 60.00 60.00 60.00
Element x y z (fractional)
La: 0.125 0.125 0.125
La: 0.875 0.875 0.875
Sn: 0.000 0.500 0.500
Sn: 0.500 0.000 0.500
Sn: 0.500 0.500 0.000
Sn: 0.500 0.500 0.500

---

# CdW2

A geometry-optimized CdW2 structure (GGA-PBE, Alexandria via LeMat-Bulk).

DFT formation energy: 1.70 eV/f.u.
space-group type: Cmcm (63)
total magnetization: 0.000 Bohr magnetons per cell
ΔE to the lowest computed polymorph: 86 meV per atom
DOS(E_F): 1.46 states/eV per cell

Lattice parameters (Å, degrees): 8.028 8.028 4.794 90.00 90.00 160.51
Element x y z (fractional)
Cd: 0.116 0.884 0.750
Cd: 0.884 0.116 0.250
W: 0.214 0.786 0.250
W: 0.451 0.549 0.750
W: 0.549 0.451 0.250
W: 0.786 0.214 0.750

---

# Be2CoCuTc

A geometry-optimized Be2CoCuTc structure (GGA-PBE, Alexandria via LeMat-Bulk).

DFT formation energy: 4.64 eV/f.u.
space-group type: P4/mmm (123)
total magnetization: 3.294 Bohr magnetons per cell
DOS(E_F): 3.58 states/eV per cell

Lattice parameters (Å, degrees): 3.875 3.875 4.276 90.00 90.00 90.00
Element x y z (fractional)
Be: 0.000 0.500 0.000
Be: 0.500 0.000 0.000
Co: 0.000 0.000 0.500
Cu: 0.000 0.000 0.000
Tc: 0.500 0.500 0.500

---

# InRhO4

A geometry-optimized InRhO4 structure (GGA-PBE, Alexandria via LeMat-Bulk).

uncorrected formation energy: -88.4 kJ/mol of atoms
space-group type: P2_1/c (14)
total magnetization: 0.757 Bohr magnetons per cell
ΔE to the lowest computed polymorph: 0 meV per atom
DOS(E_F): 8.62 states/eV per cell

Lattice parameters (Å, degrees): 5.756 4.795 5.587 90.00 109.04 90.00
Element x y z (fractional)
In: 0.000 0.000 0.000
In: 0.000 0.500 0.500
Rh: 0.500 0.000 0.500
Rh: 0.500 0.500 0.000
O: 0.166 0.157 0.375
O: 0.166 0.343 0.875
O: 0.373 0.705 0.669
O: 0.373 0.795 0.169
O: 0.627 0.205 0.831
O: 0.627 0.295 0.331
O: 0.834 0.657 0.125
O: 0.834 0.843 0.625

---

# Ta2AgHg

A geometry-optimized Ta2AgHg structure (GGA-PBE, Alexandria via LeMat-Bulk).

DFT formation energy: 2.58 eV/f.u.
space-group type: F-43m (216)
total magnetization: 0.000 Bohr magnetons per cell
DOS(E_F): 5.26 states/eV per cell

Lattice parameters (Å, degrees): 4.755 4.755 4.755 60.00 60.00 60.00
Element x y z (fractional)
Ta: 0.000 0.000 0.000
Ta: 0.250 0.250 0.250
Ag: 0.500 0.500 0.500
Hg: 0.750 0.750 0.750